This record from the Alexandria database describes a relaxed Tb6Dy2HoEr3 crystal. The functional is PBE-GGA.

The structure in extended XYZ format:
```
12
Lattice="3.061 -5.298 0.000 3.061 5.298 0.000 -2.030 0.000 11.521" Properties=species:S:1:pos:R:3 pbc="T T T"
Tb 0.011 1.765 8.650
Tb 1.020 0.000 2.870
Tb 0.011 -1.765 8.650
Tb 4.082 1.765 2.871
Tb 3.073 0.000 8.651
Tb 4.082 -1.765 2.871
Dy 2.047 1.766 5.760
Dy 2.047 -1.766 5.760
Ho -1.015 0.000 5.760
Er 3.061 3.532 0.000
Er 3.061 0.000 0.000
Er 3.061 -3.532 0.000
```

Values from the calculation:
- DFT total energy: -4.59 eV per atom
- M_tot: 0.000 μB/atom
- D(E_F): 15.5 states/eV per cell